A relaxed structure of Mg2CrFe2. Source: Alexandria via LeMat-Bulk, functional PBE.

The space group is P4/mbm (No. 127) and the conventional cell measures 7.360, 7.360 and 2.921 Å, with angles of 90.00, 90.00 and 90.00 degrees. The asymmetric unit holds Mg at (0.138, 0.362, 0.000), Cr at (0.000, 0.000, 0.000) and Fe at (0.161, 0.661, 0.500).

The calculation puts the distance to the lowest polymorph of the same formula at 164 kJ/mol of formula units. Its energy of formation is 3.4 eV per formula unit. The value obtained for the total energy is -5.264 eV/atom.